YBW3: optimized geometry, PBE.

The density of states at the Fermi level comes out at 5.4 states/eV/cell. The calculation puts the energy of formation from the pure elements at 4.005 eV/atom. Its polymorph energy (0 for the lowest one) is 3.631 eV per atom. For the spin magnetization, the calculation gives 0.000 μB/cell.

The space group is Pm-3m (No. 221) and the conventional cell measures 4.814, 4.814 and 4.814 Å, with angles of 90.00, 90.00 and 90.00 degrees. The distinct sites, in fractional coordinates, are Y at (0.000, 0.000, 0.000), B at (0.500, 0.500, 0.500) and W at (0.000, 0.000, 0.500).



YB4W3: optimized geometry, PBE.

The density of states at the Fermi level comes out at 2.8 states/eV/cell. The calculation puts the energy of formation from the pure elements at -0.371 eV/atom. For the spin magnetization, the calculation gives 0.000 μB/cell.

The space group is Pmm2 (No. 25) and the conventional cell measures 3.124, 3.229 and 9.463 Å, with angles of 90.00, 90.00 and 90.00 degrees. The distinct sites, in fractional coordinates, are Y at (0.000, 0.000, 0.000), B at (0.000, 0.000, 0.312), B at (0.000, 0.500, 0.769), B at (0.500, 0.000, 0.424), B at (0.500, 0.500, 0.855), W at (0.000, 0.500, 0.503), W at (0.500, 0.000, 0.689) and W at (0.500, 0.500, 0.249).



YBW2: optimized geometry, PBE.

The density of states at the Fermi level comes out at 11.8 states/eV/cell. The calculation puts the energy of formation from the pure elements at 1.111 eV/atom. For the spin magnetization, the calculation gives 0.000 μB/cell.

The space group is I4_1/amd (No. 141, origin choice 2) and the conventional cell measures 5.760, 5.760 and 10.612 Å, with angles of 90.00, 90.00 and 90.00 degrees. The distinct sites, in fractional coordinates, are Y at (0.000, 0.250, 0.375), B at (0.000, 0.250, 0.875) and W at (0.000, 0.000, 0.000).



YBW: optimized geometry, PBE.

The density of states at the Fermi level comes out at 3.8 states/eV/cell. The calculation puts the energy of formation from the pure elements at -0.121 eV/atom. For the spin magnetization, the calculation gives 0.999 μB/cell.

The space group is P4/nmm (No. 129, origin choice 2) and the conventional cell measures 3.693, 3.693 and 7.729 Å, with angles of 90.00, 90.00 and 90.00 degrees. The distinct sites, in fractional coordinates, are Y at (0.250, 0.250, 0.160), B at (0.250, 0.250, 0.699) and W at (0.250, 0.750, 0.500).



Y3BW: optimized geometry, PBE.

The density of states at the Fermi level comes out at 5.7 states/eV/cell. The calculation puts the energy of formation from the pure elements at 1.409 eV/atom. Its polymorph energy (0 for the lowest one) is 0.750 eV per atom. For the spin magnetization, the calculation gives 0.000 μB/cell.

The space group is Pm-3m (No. 221) and the conventional cell measures 5.336, 5.336 and 5.336 Å, with angles of 90.00, 90.00 and 90.00 degrees. The distinct sites, in fractional coordinates, are Y at (0.000, 0.000, 0.500), B at (0.500, 0.500, 0.500) and W at (0.000, 0.000, 0.000).



Y3B7W: optimized geometry, PBE.

The density of states at the Fermi level comes out at 8.8 states/eV/cell. The calculation puts the energy of formation from the pure elements at -0.583 eV/atom. For the spin magnetization, the calculation gives 0.000 μB/cell.

The space group is Cmcm (No. 63) and the conventional cell measures 3.470, 16.025 and 9.498 Å, with angles of 90.00, 90.00 and 90.00 degrees. The distinct sites, in fractional coordinates, are Y at (0.000, 0.107, 0.061), Y at (0.000, 0.244, 0.750), B at (0.000, 0.272, 0.033), B at (0.000, 0.365, 0.148), B at (0.000, 0.456, 0.750), B at (0.000, 0.480, 0.092) and W at (0.000, 0.053, 0.750).



ZnB3W: optimized geometry, PBE.

The density of states at the Fermi level comes out at 1.8 states/eV/cell. The calculation puts the energy of formation from the pure elements at 1.379 eV/atom. Its polymorph energy (0 for the lowest one) is 0.000 eV per atom. For the spin magnetization, the calculation gives 0.000 μB/cell.

The space group is Pm-3m (No. 221) and the conventional cell measures 4.187, 4.187 and 4.187 Å, with angles of 90.00, 90.00 and 90.00 degrees. The distinct sites, in fractional coordinates, are Zn at (0.000, 0.000, 0.000), B at (0.000, 0.500, 0.500) and W at (0.500, 0.500, 0.500).



ZnB2W: optimized geometry, PBE.

The density of states at the Fermi level comes out at 5.5 states/eV/cell. The calculation puts the energy of formation from the pure elements at 0.777 eV/atom. Its polymorph energy (0 for the lowest one) is 0.000 eV per atom. For the spin magnetization, the calculation gives 0.000 μB/cell.

The space group is I-42d (No. 122) and the conventional cell measures 5.785, 5.785 and 5.389 Å, with angles of 90.00, 90.00 and 90.00 degrees. The distinct sites, in fractional coordinates, are Zn at (0.000, 0.000, 0.000), B at (0.235, 0.750, 0.125) and W at (0.000, 0.000, 0.500).



Zn3BW: optimized geometry, PBE.

The density of states at the Fermi level comes out at 4.2 states/eV/cell. The calculation puts the energy of formation from the pure elements at 2.041 eV/atom. Its polymorph energy (0 for the lowest one) is 1.031 eV per atom. For the spin magnetization, the calculation gives 1.025 μB/cell.

The space group is Pm-3m (No. 221) and the conventional cell measures 4.942, 4.942 and 4.942 Å, with angles of 90.00, 90.00 and 90.00 degrees. The distinct sites, in fractional coordinates, are Zn at (0.000, 0.000, 0.500), B at (0.500, 0.500, 0.500) and W at (0.000, 0.000, 0.000).



Zn3BW: optimized geometry, PBE.

The density of states at the Fermi level comes out at 5.0 states/eV/cell. The calculation puts the energy of formation from the pure elements at 1.010 eV/atom. Its polymorph energy (0 for the lowest one) is 0.000 eV per atom. For the spin magnetization, the calculation gives 0.744 μB/cell.

The space group is Pm-3m (No. 221) and the conventional cell measures 4.113, 4.113 and 4.113 Å, with angles of 90.00, 90.00 and 90.00 degrees. The distinct sites, in fractional coordinates, are Zn at (0.000, 0.000, 0.500), B at (0.000, 0.000, 0.000) and W at (0.500, 0.500, 0.500).



ZnB2W: optimized geometry, PBE.

The density of states at the Fermi level comes out at 5.1 states/eV/cell. The calculation puts the energy of formation from the pure elements at 0.932 eV/atom. Its polymorph energy (0 for the lowest one) is 0.155 eV per atom. For the spin magnetization, the calculation gives 0.000 μB/cell.

The space group is Fm-3m (No. 225) and the conventional cell measures 5.544, 5.544 and 5.544 Å, with angles of 90.00, 90.00 and 90.00 degrees. The distinct sites, in fractional coordinates, are Zn at (0.000, 0.000, 0.000), B at (0.250, 0.250, 0.250) and W at (0.000, 0.000, 0.500).



ZnBW: optimized geometry, PBE.

The density of states at the Fermi level comes out at 3.6 states/eV/cell. The calculation puts the energy of formation from the pure elements at -0.095 eV/atom. For the spin magnetization, the calculation gives 0.000 μB/cell.

The space group is Cmcm (No. 63) and the conventional cell measures 3.112, 15.112 and 3.062 Å, with angles of 90.00, 90.00 and 90.00 degrees. The distinct sites, in fractional coordinates, are Zn at (0.000, 0.199, 0.250), B at (0.000, 0.034, 0.250) and W at (0.000, 0.419, 0.250).



no.,electronic total energy (eV per atom)
1,-6.395
2,-9.375
3,-8.651
4,-8.819
5,-6.396
6,-7.773
7,-5.473
8,-6.119
9,-2.650
10,-3.680
11,-5.964
12,-7.063